First-principles (SCAN) data for CsRe2S2 at its PBEsol-relaxed geometry, as listed in Alexandria via LeMat-Bulk.

a = 3.920 Å, b = 3.920 Å, c = 13.866 Å
α = 90.00°, β = 90.00°, γ = 90.00°
Space group I4/mmm (No. 139)
Symmetry-distinct sites (fractional):
1 Cs 0.000 0.000 0.000
2 Re 0.000 0.500 0.250
3 S 0.000 0.000 0.344

Results
Energy, eV per atom: -40.091
Uncorrected formation energy, eV per formula unit: -1.19